--- 1 ---
Computed, not measured: a geometry-optimized In2FeW structure at the GGA-PBE level of DFT.

abc: 3.004 3.004 8.194
angles: 90.00 90.00 90.00
Sites, in units of the cell vectors:
In 0.000 0.000 0.000
In 0.500 0.500 0.347
Fe 0.500 0.500 0.770
W 0.000 0.000 0.610

The value obtained for the mass density is 10.54 g cm⁻³.

=====

--- 2 ---
Computed, not measured: a geometry-optimized In2FeW structure at the GGA-PBE level of DFT.

abc: 5.227 5.227 5.227
angles: 134.50 134.50 66.31
Sites, in units of the cell vectors:
In 0.250 0.750 0.500
In 0.750 0.250 0.500
Fe 0.000 0.000 0.000
W 0.500 0.500 0.000

The value obtained for the mass density is 10.89 g cm⁻³.

=====

Of them, 2 has the lowest stability.

=====

--- 1 ---
Computed, not measured: a geometry-optimized In2FeW structure at the GGA-PBE level of DFT.

abc: 2.861 2.861 8.558
angles: 90.00 90.00 90.00
Sites, in units of the cell vectors:
In 0.000 0.000 0.234
In 0.000 0.000 0.766
Fe 0.500 0.500 0.000
W 0.500 0.500 0.500

The value obtained for the mass density is 11.12 g cm⁻³.

=====

--- 2 ---
Computed, not measured: a geometry-optimized In2FeW structure at the GGA-PBE level of DFT.

abc: 2.870 4.234 5.853
angles: 90.00 90.14 90.00
Sites, in units of the cell vectors:
In 0.001 0.000 0.254
In 0.999 0.000 0.746
Fe 0.500 0.500 0.500
W 0.500 0.500 0.000

The value obtained for the mass density is 10.96 g cm⁻³.

=====

--- 3 ---
Computed, not measured: a geometry-optimized In2FeW structure at the GGA-PBE level of DFT.

abc: 5.551 5.551 4.916
angles: 110.92 110.92 31.25
Sites, in units of the cell vectors:
In 0.000 0.000 0.000
In 0.214 0.214 0.638
Fe 0.452 0.452 0.471
W 0.764 0.764 0.174

The value obtained for the mass density is 10.68 g cm⁻³.

=====

Of them, 2 has the lowest stability.

=====

--- 1 ---
Computed, not measured: a geometry-optimized In2FeW structure at the GGA-PBE level of DFT.

abc: 3.067 4.244 5.660
angles: 90.00 103.74 90.00
Sites, in units of the cell vectors:
In 0.000 0.000 0.000
In 0.330 0.500 0.690
Fe 0.772 0.000 0.445
W 0.592 0.500 0.242

The value obtained for the mass density is 10.89 g cm⁻³.

=====

--- 2 ---
Computed, not measured: a geometry-optimized In2FeW structure at the GGA-PBE level of DFT.

abc: 5.248 5.248 5.248
angles: 134.97 134.97 65.58
Sites, in units of the cell vectors:
In 0.000 0.000 0.000
In 0.750 0.250 0.500
Fe 0.500 0.500 0.000
W 0.250 0.750 0.500

The value obtained for the mass density is 10.93 g cm⁻³.

=====

Of them, 2 has the lowest stability.

=====

--- 1 ---
Computed, not measured: a geometry-optimized InFe3W structure at the GGA-PBE level of DFT.

abc: 4.617 4.617 4.617
angles: 90.00 90.00 90.00
Sites, in units of the cell vectors:
In 0.000 0.000 0.000
Fe 0.000 0.000 0.500
Fe 0.000 0.500 0.000
Fe 0.500 0.000 0.000
W 0.500 0.500 0.500

The value obtained for the mass density is 7.87 g cm⁻³.

=====

--- 2 ---
Computed, not measured: a geometry-optimized InFe3W structure at the GGA-PBE level of DFT.

abc: 4.540 4.540 4.540
angles: 90.00 90.00 90.00
Sites, in units of the cell vectors:
In 0.000 0.000 0.000
Fe 0.000 0.500 0.500
Fe 0.500 0.000 0.500
Fe 0.500 0.500 0.000
W 0.500 0.500 0.500

The value obtained for the mass density is 8.27 g cm⁻³.

=====

Of them, 1 has the lowest stability.